1.
CoPd2: relaxed, PBE-GGA.

The crystal system is monoclinic. The value obtained for the magnetic moment is 0.879 μB per atom. Its density of states at the Fermi level is 2.9 states/eV/f.u. The total energy comes out at -69.73 eV/cell.

It has space group C2/m (No. 12), with a = 10.294 Å, b = 2.724 Å, c = 6.290 Å, α = 90.00°, β = 106.15° and γ = 90.00°. The asymmetric unit holds Co at (0.156, 0.000, 0.027), Pd at (0.028, 0.500, 0.267) and Pd at (0.188, 0.000, 0.640).

=====

2.
Co5Pd: relaxed, PBE-GGA.

The crystal system is orthorhombic. The value obtained for the magnetic moment is 1.497 μB per atom. Its density of states at the Fermi level is 7.3 states/eV/f.u. The total energy comes out at -80.78 eV/cell.

It has space group Cmmm (No. 65), with a = 3.630 Å, b = 10.676 Å, c = 3.646 Å, α = 90.00°, β = 90.00° and γ = 90.00°. The asymmetric unit holds Co at (0.000, 0.000, 0.000), Co at (0.000, 0.173, 0.500), Co at (0.000, 0.328, 0.000) and Pd at (0.000, 0.500, 0.500).

=====

3.
CoPd: relaxed, PBE-GGA.

The crystal system is tetragonal. The value obtained for the magnetic moment is 1.154 μB per atom. Its density of states at the Fermi level is 2.2 states/eV/f.u. The total energy comes out at -89.82 eV/cell.

It has space group I4/m (No. 87), with a = 10.145 Å, b = 10.145 Å, c = 2.636 Å, α = 90.00°, β = 90.00° and γ = 90.00°. The asymmetric unit holds Co at (0.170, 0.696, 0.000) and Pd at (0.041, 0.186, 0.000).

=====

4.
Co6Pd: relaxed, PBE-GGA.

The crystal system is cubic. The value obtained for the magnetic moment is 0.579 μB per atom. Its density of states at the Fermi level is 8.2 states/eV/f.u. The total energy comes out at -79.76 eV/cell.

It has space group Im-3m (No. 229), with a = 5.953 Å, b = 5.953 Å, c = 5.953 Å, α = 90.00°, β = 90.00° and γ = 90.00°. The asymmetric unit holds Co at (0.000, 0.250, 0.500) and Pd at (0.000, 0.000, 0.000).

=====

5.
CoPd: relaxed, PBE-GGA.

The crystal system is hexagonal. The value obtained for the magnetic moment is 1.101 μB per atom. Its density of states at the Fermi level is 2.4 states/eV/f.u. The total energy comes out at -70.53 eV/cell.

It has space group P6_3/m (No. 176), with a = 8.7553 Å, b = 8.7553 Å, c = 2.6351 Å, α = 90.00°, β = 90.00° and γ = 120.00°. The asymmetric unit holds Co at (0.1561, 0.5370, 0.2500) and Pd at (0.0513, 0.7553, 0.2500).

=====

6.
Co7Pd: relaxed, PBE-GGA.

The crystal system is hexagonal. The value obtained for the magnetic moment is 1.544 μB per atom. Its density of states at the Fermi level is 8.1 states/eV/f.u. The total energy comes out at -54.63 eV/cell.

It has space group P-6m2 (No. 187), with a = 5.1152 Å, b = 5.1152 Å, c = 4.0831 Å, α = 90.00°, β = 90.00° and γ = 120.00°. The asymmetric unit holds Co at (0.0000, 0.0000, 0.0000), Co at (0.0141, 0.5071, 0.0000), Co at (0.1679, 0.3357, 0.5000) and Pd at (0.6667, 0.3333, 0.5000).

=====

7.
CoPd2: relaxed, PBE-GGA.

The crystal system is tetragonal. The value obtained for the magnetic moment is 0.870 μB per atom. Its density of states at the Fermi level is 2.8 states/eV/f.u. The total energy comes out at -34.96 eV/cell.

It has space group I4/mmm (No. 139), with a = 2.728 Å, b = 2.728 Å, c = 11.324 Å, α = 90.00°, β = 90.00° and γ = 90.00°. The asymmetric unit holds Co at (0.000, 0.000, 0.000) and Pd at (0.000, 0.000, 0.343).

=====

8.
CoPd: relaxed, PBE-GGA.

The crystal system is tetragonal. The value obtained for the magnetic moment is 1.046 μB per atom. Its density of states at the Fermi level is 2.1 states/eV/f.u. The total energy comes out at -95.09 eV/cell.

It has space group I4/mmm (No. 139), with a = 8.259 Å, b = 8.259 Å, c = 3.348 Å, α = 90.00°, β = 90.00° and γ = 90.00°. The asymmetric unit holds Co at (0.000, 0.351, 0.000) and Pd at (0.161, 0.161, 0.500).